Here is ScFe2 after structural relaxation from OQMD. Energies are from PBE-GGA.

Calculated values
* crystal system: tetragonal

Unit cell a=4.6816 b=4.6816 c=4.9260 alpha=90.00 beta=90.00 gamma=90.00
Last column: nearest neighbours and their distance in Å.
Atoms (fractional coordinates):
Sc: 0.0000 0.0000 0.0000  2 Fe 2.26
Sc: 0.5000 0.5000 0.5000  2 Fe 2.26
Fe: 0.1580 0.1580 0.5000  1 Fe 2.09, 1 Sc 2.26
Fe: 0.3420 0.6580 0.0000  1 Fe 2.09, 1 Sc 2.26
Fe: 0.6580 0.3420 0.0000  1 Fe 2.09, 1 Sc 2.26
Fe: 0.8420 0.8420 0.5000  1 Fe 2.09, 1 Sc 2.26

***

Here is GdErAs after structural relaxation from OQMD. Energies are from PBE-GGA.

Calculated values
* energy above the most stable polymorph in this dataset: 0 meV/atom
* crystal system: cubic

Unit cell a=6.8026 b=6.8026 c=6.8026 alpha=90.00 beta=90.00 gamma=90.00
Last column: nearest neighbours and their distance in Å.
Atoms (fractional coordinates):
Gd: 0.0000 0.0000 0.0000  4 As 2.95
Gd: 0.0000 0.5000 0.5000  4 As 2.95
Gd: 0.5000 0.0000 0.5000  4 As 2.95
Gd: 0.5000 0.5000 0.0000  4 As 2.95
Er: 0.0000 0.0000 0.5000  4 As 2.95
Er: 0.0000 0.5000 0.0000  4 As 2.95
Er: 0.5000 0.0000 0.0000  4 As 2.95
Er: 0.5000 0.5000 0.5000  4 As 2.95
As: 0.2500 0.2500 0.7500  4 Gd 2.95, 4 Er 2.95
As: 0.2500 0.7500 0.2500  4 Gd 2.95, 4 Er 2.95
As: 0.7500 0.2500 0.2500  4 Gd 2.95, 4 Er 2.95
As: 0.7500 0.7500 0.7500  4 Gd 2.95, 4 Er 2.95

***

Here is Na2Cd2In2PdPt after structural relaxation from OQMD. Energies are from PBE-GGA.

Calculated values
* crystal system: tetragonal

Unit cell a=4.7927 b=4.7927 c=6.7729 alpha=90.00 beta=90.00 gamma=90.00
Last column: nearest neighbours and their distance in Å.
Atoms (fractional coordinates):
Na: 0.0000 0.0000 0.0000  4 In 2.94, 4 Cd 2.94
Na: 0.5000 0.5000 0.5000  4 Cd 2.93, 4 In 2.93
Cd: 0.0000 0.5000 0.7494  2 Pd 2.93, 4 Na 2.93-2.94, 2 Pt 2.94
Cd: 0.5000 0.0000 0.2506  4 Na 2.93-2.94, 2 Pd 2.93, 2 Pt 2.94
In: 0.0000 0.5000 0.2503  4 Na 2.93-2.94, 2 Pd 2.93, 2 Pt 2.94
In: 0.5000 0.0000 0.7497  4 Na 2.93-2.94, 2 Pd 2.93, 2 Pt 2.94
Pd: 0.0000 0.0000 0.5000  4 Cd 2.93, 4 In 2.93
Pt: 0.5000 0.5000 0.0000  4 In 2.94, 4 Cd 2.94

***

Here is BaTaCuNi after structural relaxation from OQMD. Energies are from PBE-GGA.

Calculated values
* energy above the most stable polymorph in this dataset: 163 meV/atom
* crystal system: cubic

Unit cell a=6.6617 b=6.6617 c=6.6617 alpha=90.00 beta=90.00 gamma=90.00
Last column: nearest neighbours and their distance in Å.
Atoms (fractional coordinates):
Ba: 0.0000 0.0000 0.0000  4 Ta 2.88, 4 Ni 2.88
Ba: 0.0000 0.5000 0.5000  4 Ta 2.88, 4 Ni 2.88
Ba: 0.5000 0.0000 0.5000  4 Ta 2.88, 4 Ni 2.88
Ba: 0.5000 0.5000 0.0000  4 Ta 2.88, 4 Ni 2.88
Ta: 0.2500 0.2500 0.2500  4 Ba 2.88, 4 Cu 2.88
Ta: 0.2500 0.7500 0.7500  4 Ba 2.88, 4 Cu 2.88
Ta: 0.7500 0.2500 0.7500  4 Ba 2.88, 4 Cu 2.88
Ta: 0.7500 0.7500 0.2500  4 Ba 2.88, 4 Cu 2.88
Cu: 0.0000 0.0000 0.5000  4 Ni 2.88, 4 Ta 2.88
Cu: 0.0000 0.5000 0.0000  4 Ni 2.88, 4 Ta 2.88
Cu: 0.5000 0.0000 0.0000  4 Ni 2.88, 4 Ta 2.88
Cu: 0.5000 0.5000 0.5000  4 Ta 2.88, 4 Ni 2.88
Ni: 0.2500 0.2500 0.7500  4 Ba 2.88, 4 Cu 2.88
Ni: 0.2500 0.7500 0.2500  4 Ba 2.88, 4 Cu 2.88
Ni: 0.7500 0.2500 0.2500  4 Ba 2.88, 4 Cu 2.88
Ni: 0.7500 0.7500 0.7500  4 Ba 2.88, 4 Cu 2.88

***

Here is Tb2ErSi4Au4 after structural relaxation from OQMD. Energies are from PBE-GGA.

Calculated values
* crystal system: orthorhombic

Unit cell a=12.8683 b=12.8683 c=12.8683 alpha=161.56 beta=161.05 gamma=26.57
Last column: nearest neighbours and their distance in Å.
Atoms (fractional coordinates):
Tb: 0.1476 0.1476 0.0000  6 Si 3.14-3.26, 8 Au 3.25-3.37
Tb: 0.8524 0.8524 0.0000  6 Si 3.14-3.26, 8 Au 3.25-3.37
Er: 0.5000 0.0000 0.5000  4 Au 3.12, 8 Si 3.18
Si: 0.0466 0.5466 0.5000  1 Si 2.34, 2 Au 2.42
Si: 0.3104 0.3104 0.0000  5 Au 2.41-2.59
Si: 0.6896 0.6896 0.0000  5 Au 2.41-2.59
Si: 0.9534 0.4534 0.5000  1 Si 2.34, 2 Au 2.42
Au: 0.2478 0.7478 0.5000  4 Si 2.57-2.59
Au: 0.4067 0.4067 0.0000  3 Si 2.41-2.42
Au: 0.5933 0.5933 0.0000  3 Si 2.41-2.42
Au: 0.7522 0.2522 0.5000  4 Si 2.57-2.59

***

Here is YNiB after structural relaxation from OQMD. Energies are from PBE-GGA.

Calculated values
* energy above the most stable polymorph in this dataset: 133 meV/atom
* crystal system: orthorhombic

Unit cell a=6.7225 b=3.7312 c=6.9293 alpha=90.00 beta=90.00 gamma=90.00
Last column: nearest neighbours and their distance in Å.
Atoms (fractional coordinates):
Y: 0.0005 0.2500 0.2108  6 Ni 2.75-2.98, 6 B 2.76-2.88
Y: 0.4995 0.7500 0.7108  6 Ni 2.75-2.98, 6 B 2.76-2.88
Y: 0.5005 0.2500 0.2892  6 Ni 2.75-2.98, 6 B 2.76-2.88
Y: 0.9995 0.7500 0.7892  6 Ni 2.75-2.98, 6 B 2.76-2.88
Ni: 0.1898 0.7500 0.4365  2 B 2.10
Ni: 0.3102 0.2500 0.9365  2 B 2.10
Ni: 0.6898 0.7500 0.0635  2 B 2.10
Ni: 0.8102 0.2500 0.5635  2 B 2.10
B: 0.2072 0.2500 0.5749  2 Ni 2.10
B: 0.2928 0.7500 0.0749  2 Ni 2.10
B: 0.7072 0.2500 0.9251  2 Ni 2.10
B: 0.7928 0.7500 0.4251  2 Ni 2.10

***

Here is NaLuPO after structural relaxation from OQMD. Energies are from PBE-GGA.

Calculated values
* energy above the most stable polymorph in this dataset: 86 meV/atom
* crystal system: orthorhombic

Unit cell a=3.4991 b=7.7753 c=5.8568 alpha=90.00 beta=90.00 gamma=90.00
Last column: nearest neighbours and their distance in Å.
Atoms (fractional coordinates):
Na: 0.0000 0.0638 0.0000  2 O 2.19-2.24
Na: 0.0000 0.9362 0.5000  2 O 2.19-2.24
Lu: 0.5000 0.3296 0.3640  2 O 2.05
Lu: 0.5000 0.6704 0.8640  2 O 2.05
P: 0.5000 0.3247 0.8478  2 Lu 2.69-2.83, 2 Na 2.82
P: 0.5000 0.6753 0.3478  2 Lu 2.69-2.83, 2 Na 2.82
O: 0.0000 0.1923 0.3424  2 Lu 2.05, 2 Na 2.19-2.24
O: 0.0000 0.8077 0.8424  2 Lu 2.05, 2 Na 2.19-2.24

***

Here is Zr2Al2Tc after structural relaxation from OQMD. Energies are from PBE-GGA.

Calculated values
* crystal system: tetragonal

Unit cell a=3.4982 b=3.4982 c=16.0460 alpha=90.00 beta=90.00 gamma=90.00
Last column: nearest neighbours and their distance in Å.
Atoms (fractional coordinates):
Zr: 0.0000 0.0000 0.0954  4 Tc 2.91, 4 Al 3.04, 1 Zr 3.06
Zr: 0.0000 0.0000 0.9046  4 Tc 2.91, 4 Al 3.04, 1 Zr 3.06
Zr: 0.5000 0.5000 0.4046  4 Tc 2.91, 4 Al 3.04, 1 Zr 3.06
Zr: 0.5000 0.5000 0.5954  4 Tc 2.91, 4 Al 3.04, 1 Zr 3.06
Al: 0.0000 0.5000 0.2500  4 Al 2.47
Al: 0.0000 0.5000 0.7500  4 Al 2.47
Al: 0.5000 0.0000 0.2500  4 Al 2.47
Al: 0.5000 0.0000 0.7500  4 Al 2.47
Tc: 0.0000 0.0000 0.5000  8 Zr 2.91
Tc: 0.5000 0.5000 0.0000  8 Zr 2.91

***

| no. | total energy (eV per atom) |
| --- | --- |
| 1 | -6.59 |
| 2 | -5.37 |
| 3 | -2.92 |
| 4 | -4.73 |
| 5 | -5.13 |
| 6 | -6.51 |
| 7 | -5.62 |
| 8 | -6.93 |